# 1
TaAg4P, optimized geometry, DFT PBE; ΔE_f = 724 meV per atom
1.0
0.0000 3.8116 3.8116
3.8116 0.0000 3.8116
3.8116 3.8116 0.0000
Ta Ag P
1 4 1
direct
0.0000 0.0000 0.0000
0.1249 0.6250 0.6250
0.6250 0.1249 0.6250
0.6250 0.6250 0.1249
0.6250 0.6250 0.6250
0.2500 0.2500 0.2500

---

# 2
LiHIr3, optimized geometry, DFT PBE; E = -31.2 eV/f.u.
1.0
3.8916 0.0000 0.0000
0.0000 3.8916 0.0000
0.0000 0.0000 3.8916
Li H Ir
1 1 3
direct
0.0000 0.0000 0.0000
0.5000 0.5000 0.5000
0.0000 0.5000 0.5000
0.5000 0.0000 0.5000
0.5000 0.5000 0.0000

---

# 3
CrHgIr, optimized geometry, DFT PBE; ΔE_f = 463 meV per atom
1.0
4.3993 0.0000 0.0000
-2.1996 3.8099 0.0000
0.0000 0.0000 2.9218
Cr Hg Ir
1 1 1
direct
0.0000 0.0000 0.0000
0.6667 0.3333 0.5000
0.3333 0.6667 0.0000

---

# 4
RhPbNO2, optimized geometry, DFT PBE; uncorrected formation energy = 5.43 eV per formula unit
1.0
4.2626 0.0000 0.0000
0.0000 4.2626 0.0000
0.0000 0.0000 4.3380
Rh Pb N O
1 1 1 2
direct
0.0000 0.0000 0.0000
0.5000 0.5000 0.5000
0.5000 0.5000 0.0000
0.0000 0.5000 0.5000
0.5000 0.0000 0.5000

---

# 5
Pr6NdSm3, optimized geometry, DFT PBE; ΔE_f = 130 meV per atom
1.0
5.5641 -9.7695 0.0000
5.5641 9.7695 0.0000
0.0000 0.0000 6.5197
Pr Nd Sm
12 2 6
direct
0.0341 0.9659 0.5000
0.0572 0.4727 0.9822
0.2815 0.7185 0.7086
0.2911 0.3701 0.8021
0.3701 0.2911 0.3021
0.4727 0.0572 0.4822
0.5273 0.9428 0.9822
0.6299 0.7089 0.8021
0.7089 0.6299 0.3021
0.7185 0.2815 0.2086
0.9428 0.5273 0.4822
0.9659 0.0341 0.0000
0.1901 0.8099 0.2516
0.8099 0.1901 0.7516
0.0579 0.2934 0.3967
0.2934 0.0579 0.8967
0.3824 0.6176 0.2663
0.6176 0.3824 0.7663
0.7066 0.9421 0.3967
0.9421 0.7066 0.8967

---

# 6
Hf6Co5Rh, optimized geometry, DFT PBE; ΔE_f = -508 meV per atom
1.0
4.1581 0.0000 0.0000
0.0002 6.4179 0.0000
2.0716 1.6004 7.2328
Hf Co Rh
6 5 1
direct
0.0002 0.2436 0.9996
0.9998 0.7564 0.0004
0.3232 0.6629 0.3540
0.3236 0.1602 0.3532
0.6764 0.8398 0.6468
0.6768 0.3371 0.6460
0.1416 0.0702 0.7163
0.1426 0.5717 0.7145
0.5000 0.0000 0.0000
0.8574 0.4283 0.2855
0.8584 0.9298 0.2837
0.5000 0.5000 0.0000